Material: K2SrBiO4
Method: DFT, GGA-PBE
State: optimized geometry

Values from the calculation:
* space group: P2/m (10)
* M_tot: 0.0000 μB per atom
* formation energy without anion corrections: -1277.4 kJ/mol of formula units

Cell: 3.644 6.278 6.632 Å, 108.60 90.00 90.00°
Element x y z (fractional)
K (0.000, 0.500, 0.500)
K (0.500, 0.000, 0.500)
O (0.000, 0.763, 0.195)
O (0.500, 0.211, 0.197)
O (0.500, 0.789, 0.803)
O (0.000, 0.237, 0.805)
Bi (0.000, 0.000, 0.000)
Sr (0.500, 0.500, 0.000)

=====

Material: KSr2BiO
Method: DFT, GGA-PBE
State: optimized geometry

Values from the calculation:
* space group: P4/mmm (123)
* M_tot: 0.0000 μB per atom
* formation energy without anion corrections: -74.8 kJ/mol of formula units
* relative energy among the computed polymorphs: 1280.1 meV/atom

Cell: 6.684 4.742 6.684 Å, 90.00 90.00 90.00°
Element x y z (fractional)
Sr (0.500, 0.000, 0.000)
Sr (0.000, 0.000, 0.500)
K (0.500, 0.500, 0.500)
O (0.000, 0.500, 0.000)
Bi (0.000, 0.000, 0.000)

=====

Material: KSrTbBiO6
Method: DFT, GGA-PBE
State: optimized geometry

Values from the calculation:
* space group: F-43m (216)
* M_tot: 0.1017 μB per atom
* formation energy without anion corrections: -1876.5 kJ/mol of formula units

Cell: 6.138 6.138 6.138 Å, 60.00 60.00 60.00°
Last column: magnetic moment on the atom in μB.
Element x y z (fractional)
Sr (0.250, 0.250, 0.250)  -0.01
O (0.757, 0.757, 0.243)  0.15
O (0.757, 0.243, 0.757)  0.15
O (0.243, 0.757, 0.243)  0.15
O (0.757, 0.243, 0.243)  0.15
O (0.243, 0.757, 0.757)  0.15
O (0.243, 0.243, 0.757)  0.15
K (0.750, 0.750, 0.750)  0.00
Bi (0.000, 0.000, 0.000)  -0.03
Tb (0.500, 0.500, 0.500)  -0.03

=====

Question: Which of these has the lowest formation energy without anion corrections?
Answer: KSrTbBiO6

=====

Question: Among the records above, which one has the highest M_tot?
Answer: KSrTbBiO6

=====

Question: Number 1 is which compound?
Answer: K2SrBiO4